1.
The following is a DFT calculation (GGA-PBEsol) of a geometry-optimized EuGa2 structure.

Lattice parameters (Å, degrees): 4.5234 5.7408 5.7408 80.26 66.80 66.80
With the nearest neighbours (Å) after each atom.
Fractional coordinates of all 6 atoms:
Eu (0.0447, 0.7053, 0.2053)  12 Ga 3.08-3.34
Eu (0.9553, 0.2947, 0.7947)  12 Ga 3.08-3.34
Ga (0.3383, 0.1008, 0.2225)  4 Ga 2.59-2.80
Ga (0.6617, 0.8992, 0.7775)  4 Ga 2.59-2.80
Ga (0.3383, 0.7225, 0.6008)  4 Ga 2.59-2.80
Ga (0.6617, 0.2775, 0.3992)  4 Ga 2.59-2.80

Values from the calculation:
Density of states at the Fermi level, states/eV/f.u.: 4.32
M_tot, μB/f.u.: 7.07
Calculated volume, Å³ per cell: 125.9
Energy relative to the elements, meV per atom: -622

2.
The following is a DFT calculation (GGA-PBEsol) of a geometry-optimized EuGa2 structure.

Lattice parameters (Å, degrees): 4.4317 4.4317 3.7804 90.00 90.00 120.00
With the nearest neighbours (Å) after each atom.
Fractional coordinates of all 3 atoms:
Eu (0.0000, 0.0000, 0.0000)  12 Ga 3.18
Ga (0.6667, 0.3333, 0.5000)  3 Ga 2.56
Ga (0.3333, 0.6667, 0.5000)  3 Ga 2.56

Values from the calculation:
Density of states at the Fermi level, states/eV/f.u.: 7.24
M_tot, μB/f.u.: 7.14
Calculated volume, Å³ per cell: 64.3
Energy relative to the elements, meV per atom: -585

3.
The following is a DFT calculation (GGA-PBEsol) of a geometry-optimized EuGa4 structure.

Lattice parameters (Å, degrees): 4.3154 4.3154 6.0636 110.85 110.85 90.00
With the nearest neighbours (Å) after each atom.
Fractional coordinates of all 5 atoms:
Eu (0.0000, 0.0000, 0.0000)  16 Ga 3.29-3.39
Ga (0.3838, 0.3838, 0.7676)  5 Ga 2.44-2.57
Ga (0.2500, 0.7500, 0.5000)  4 Ga 2.57
Ga (0.7500, 0.2500, 0.5000)  4 Ga 2.57
Ga (0.6162, 0.6162, 0.2324)  5 Ga 2.44-2.57

Values from the calculation:
Density of states at the Fermi level, states/eV/f.u.: 4.99
M_tot, μB/f.u.: 6.93
Calculated volume, Å³ per cell: 97.6
Energy relative to the elements, meV per atom: -494

4.
The following is a DFT calculation (GGA-PBEsol) of a geometry-optimized EuGaGe structure.

Lattice parameters (Å, degrees): 4.1995 4.1995 17.3573 90.00 90.00 120.00
With the nearest neighbours (Å) after each atom.
Fractional coordinates of all 12 atoms:
Eu (0.0000, 0.0000, 0.0000)  6 Ge 3.10
Eu (0.0000, 0.0000, 0.5000)  6 Ge 3.10
Eu (0.0000, 0.0000, 0.2500)  6 Ga 3.02
Eu (0.0000, 0.0000, 0.7500)  6 Ga 3.02
Ge (0.3333, 0.6667, 0.6112)  3 Ga 2.50
Ge (0.6667, 0.3333, 0.1112)  3 Ga 2.50
Ge (0.6667, 0.3333, 0.3888)  3 Ga 2.50
Ge (0.3333, 0.6667, 0.8888)  3 Ga 2.50
Ga (0.3333, 0.6667, 0.1461)  3 Ge 2.50
Ga (0.6667, 0.3333, 0.6461)  3 Ge 2.50
Ga (0.6667, 0.3333, 0.8539)  3 Ge 2.50
Ga (0.3333, 0.6667, 0.3539)  3 Ge 2.50

Values from the calculation:
Density of states at the Fermi level, states/eV/f.u.: 10.07
M_tot, μB/f.u.: 0.05
Calculated volume, Å³ per cell: 265.1
Energy relative to the elements, meV per atom: -669

5.
The following is a DFT calculation (GGA-PBEsol) of a geometry-optimized Eu2GaHg structure.

Lattice parameters (Å, degrees): 5.2860 5.2860 5.2860 60.00 60.00 60.00
With the nearest neighbours (Å) after each atom.
Fractional coordinates of all 4 atoms:
Eu (0.2500, 0.2500, 0.2500)  4 Ga 3.24, 4 Hg 3.24
Eu (0.7500, 0.7500, 0.7500)  4 Ga 3.24, 4 Hg 3.24
Hg (0.0000, 0.0000, 0.0000)  8 Eu 3.24
Ga (0.5000, 0.5000, 0.5000)  8 Eu 3.24

Values from the calculation:
Density of states at the Fermi level, states/eV/f.u.: 13.01
M_tot, μB/f.u.: 13.97
Calculated volume, Å³ per cell: 104.4
Energy relative to the elements, meV per atom: -548

6.
The following is a DFT calculation (GGA-PBEsol) of a geometry-optimized Eu2Ga9Ir3 structure.

Lattice parameters (Å, degrees): 7.5008 7.5008 9.5725 90.00 90.00 119.66
With the nearest neighbours (Å) after each atom.
Fractional coordinates of all 28 atoms:
Eu (0.3309, 0.0024, 0.2500)  11 Ga 3.03-3.12
Eu (0.6691, 0.9976, 0.7500)  11 Ga 3.03-3.12
Eu (0.0024, 0.3309, 0.2500)  11 Ga 3.03-3.12
Eu (0.9976, 0.6691, 0.7500)  11 Ga 3.03-3.12
Ga (0.6657, 0.6657, 0.5602)  3 Ir 2.59-2.61, 5 Ga 2.75-2.83
Ga (0.3343, 0.3343, 0.0602)  3 Ir 2.59-2.61, 5 Ga 2.75-2.83
Ga (0.6657, 0.6657, 0.9398)  3 Ir 2.59-2.61, 5 Ga 2.75-2.83
Ga (0.3343, 0.3343, 0.4398)  3 Ir 2.59-2.61, 5 Ga 2.75-2.83
Ga (0.3347, 0.0020, 0.5759)  3 Ir 2.57-2.61, 3 Ga 2.74-2.81
Ga (0.6653, 0.9980, 0.0759)  3 Ir 2.57-2.61, 3 Ga 2.74-2.81
Ga (0.0020, 0.3347, 0.9241)  3 Ir 2.57-2.61, 3 Ga 2.74-2.81
Ga (0.9980, 0.6653, 0.4241)  3 Ir 2.57-2.61, 3 Ga 2.74-2.81
Ga (0.6653, 0.9980, 0.4241)  3 Ir 2.57-2.61, 3 Ga 2.74-2.81
Ga (0.3347, 0.0020, 0.9241)  3 Ir 2.57-2.61, 3 Ga 2.74-2.81
Ga (0.9980, 0.6653, 0.0759)  3 Ir 2.57-2.61, 3 Ga 2.74-2.81
Ga (0.0020, 0.3347, 0.5759)  3 Ir 2.57-2.61, 3 Ga 2.74-2.81
Ga (0.1295, 0.1295, 0.7500)  2 Ir 2.58, 6 Ga 2.71-2.74
Ga (0.8705, 0.8705, 0.2500)  2 Ir 2.58, 6 Ga 2.71-2.74
Ga (0.4554, 0.6629, 0.2500)  2 Ir 2.58, 6 Ga 2.69-2.83
Ga (0.5446, 0.3371, 0.7500)  2 Ir 2.58, 6 Ga 2.69-2.83
Ga (0.6629, 0.4554, 0.2500)  2 Ir 2.58, 6 Ga 2.69-2.83
Ga (0.3371, 0.5446, 0.7500)  2 Ir 2.58, 6 Ga 2.69-2.83
Ir (0.0000, 0.0000, 0.5000)  8 Ga 2.58-2.61
Ir (0.0000, 0.0000, 0.0000)  8 Ga 2.58-2.61
Ir (0.3293, 0.6707, 0.5000)  8 Ga 2.57-2.61
Ir (0.6707, 0.3293, 0.0000)  8 Ga 2.57-2.61
Ir (0.6707, 0.3293, 0.5000)  8 Ga 2.57-2.61
Ir (0.3293, 0.6707, 0.0000)  8 Ga 2.57-2.61

Values from the calculation:
Density of states at the Fermi level, states/eV/f.u.: 19.12
M_tot, μB/f.u.: 13.58
Calculated volume, Å³ per cell: 468.0
Energy relative to the elements, meV per atom: -654

7.
The following is a DFT calculation (GGA-PBEsol) of a geometry-optimized LiEu2Ga7 structure.

Lattice parameters (Å, degrees): 4.2343 4.2343 10.7758 90.00 90.00 90.00
With the nearest neighbours (Å) after each atom.
Fractional coordinates of all 10 atoms:
Li (0.0000, 0.0000, 0.0000)  4 Ga 2.56
Eu (0.5000, 0.0000, 0.7444)  14 Ga 3.20-3.47, 2 Li 3.47
Eu (0.0000, 0.5000, 0.2556)  14 Ga 3.20-3.47, 2 Li 3.47
Ga (0.0000, 0.5000, 0.8672)  3 Ga 2.46-2.56, 2 Li 2.56
Ga (0.5000, 0.0000, 0.3609)  5 Ga 2.46-2.59
Ga (0.5000, 0.0000, 0.1328)  3 Ga 2.46-2.56, 2 Li 2.56
Ga (0.0000, 0.5000, 0.6391)  5 Ga 2.46-2.59
Ga (0.5000, 0.5000, 0.5000)  4 Ga 2.59
Ga (0.5000, 0.5000, 0.0000)  4 Ga 2.56
Ga (0.0000, 0.0000, 0.5000)  4 Ga 2.59

Values from the calculation:
Density of states at the Fermi level, states/eV/f.u.: 19.15
M_tot, μB/f.u.: 13.86
Calculated volume, Å³ per cell: 193.2
Energy relative to the elements, meV per atom: -501

8.
The following is a DFT calculation (GGA-PBEsol) of a geometry-optimized Eu2MgGa3 structure.

Lattice parameters (Å, degrees): 4.6322 5.9013 5.8743 79.16 66.78 66.89
With the nearest neighbours (Å) after each atom.
Fractional coordinates of all 6 atoms:
Eu (0.7100, 0.0389, 0.5410)  9 Ga 3.16-3.35, 3 Mg 3.26-3.45
Eu (0.6228, 0.6310, 0.1233)  3 Mg 3.16-3.28, 9 Ga 3.18-3.49
Mg (0.3302, 0.2356, 0.1040)  4 Ga 2.72-2.89
Ga (0.9965, 0.4348, 0.5722)  3 Ga 2.67-2.88, 1 Mg 2.79
Ga (0.0121, 0.0364, 0.9394)  2 Ga 2.58-2.88, 2 Mg 2.72
Ga (0.3283, 0.6232, 0.7201)  3 Ga 2.58-2.67

Values from the calculation:
Density of states at the Fermi level, states/eV/f.u.: 17.30
M_tot, μB/f.u.: 13.91
Calculated volume, Å³ per cell: 135.6
Energy relative to the elements, meV per atom: -496

9.
The following is a DFT calculation (GGA-PBEsol) of a geometry-optimized EuMg2Ga2 structure.

Lattice parameters (Å, degrees): 4.3712 4.3712 6.6141 109.30 109.30 90.00
With the nearest neighbours (Å) after each atom.
Fractional coordinates of all 5 atoms:
Eu (0.0000, 0.0000, 0.0000)  8 Ga 3.32, 8 Mg 3.65
Mg (0.7500, 0.2500, 0.5000)  4 Ga 2.77, 4 Mg 3.09
Mg (0.2500, 0.7500, 0.5000)  4 Ga 2.77, 4 Mg 3.09
Ga (0.3956, 0.3956, 0.7913)  1 Ga 2.44
Ga (0.6044, 0.6044, 0.2087)  1 Ga 2.44

Values from the calculation:
Density of states at the Fermi level, states/eV/f.u.: 12.49
M_tot, μB/f.u.: 6.87
Calculated volume, Å³ per cell: 111.7
Energy relative to the elements, meV per atom: -383

10.
The following is a DFT calculation (GGA-PBEsol) of a geometry-optimized EuGaPt structure.

Lattice parameters (Å, degrees): 4.4154 7.0845 7.6769 90.00 90.00 90.00
With the nearest neighbours (Å) after each atom.
Fractional coordinates of all 12 atoms:
Eu (0.2500, 0.0177, 0.3106)  5 Pt 2.97-3.17, 6 Ga 3.12-3.29
Eu (0.7500, 0.9823, 0.6894)  5 Pt 2.97-3.17, 6 Ga 3.12-3.29
Eu (0.2500, 0.5177, 0.1894)  5 Pt 2.97-3.17, 6 Ga 3.12-3.29
Eu (0.7500, 0.4823, 0.8106)  5 Pt 2.97-3.17, 6 Ga 3.12-3.29
Ga (0.2500, 0.1622, 0.9261)  4 Pt 2.62-2.65
Ga (0.7500, 0.8378, 0.0739)  4 Pt 2.62-2.65
Ga (0.2500, 0.6622, 0.5739)  4 Pt 2.62-2.65
Ga (0.7500, 0.3378, 0.4261)  4 Pt 2.62-2.65
Pt (0.2500, 0.2898, 0.6050)  4 Ga 2.62-2.65
Pt (0.7500, 0.7102, 0.3950)  4 Ga 2.62-2.65
Pt (0.2500, 0.7898, 0.8950)  4 Ga 2.62-2.65
Pt (0.7500, 0.2102, 0.1050)  4 Ga 2.62-2.65

Values from the calculation:
Density of states at the Fermi level, states/eV/f.u.: 6.85
M_tot, μB/f.u.: 6.90
Calculated volume, Å³ per cell: 240.1
Energy relative to the elements, meV per atom: -945

11.
The following is a DFT calculation (GGA-PBEsol) of a geometry-optimized Eu2Ga9Rh3 structure.

Lattice parameters (Å, degrees): 7.4679 7.4679 9.5851 90.00 90.00 119.48
With the nearest neighbours (Å) after each atom.
Fractional coordinates of all 28 atoms:
Eu (0.9983, 0.6699, 0.7500)  11 Ga 3.03-3.12
Eu (0.3301, 0.0017, 0.2500)  11 Ga 3.03-3.12
Eu (0.6699, 0.9983, 0.7500)  11 Ga 3.03-3.12
Eu (0.0017, 0.3301, 0.2500)  11 Ga 3.03-3.12
Ga (0.9961, 0.6648, 0.0752)  3 Rh 2.57-2.59, 3 Ga 2.73-2.79
Ga (0.1289, 0.1289, 0.7500)  2 Rh 2.59, 6 Ga 2.71-2.73
Ga (0.3352, 0.0039, 0.5752)  3 Rh 2.57-2.59, 3 Ga 2.73-2.79
Ga (0.3352, 0.3352, 0.4401)  3 Rh 2.59, 5 Ga 2.73-2.82
Ga (0.5464, 0.3375, 0.7500)  2 Rh 2.58, 6 Ga 2.70-2.82
Ga (0.6625, 0.4536, 0.2500)  2 Rh 2.58, 6 Ga 2.70-2.82
Ga (0.8711, 0.8711, 0.2500)  2 Rh 2.59, 6 Ga 2.71-2.73
Ga (0.6648, 0.6648, 0.9401)  3 Rh 2.59, 5 Ga 2.73-2.82
Ga (0.6648, 0.6648, 0.5599)  3 Rh 2.59, 5 Ga 2.73-2.82
Ga (0.6648, 0.9961, 0.4248)  3 Rh 2.57-2.59, 3 Ga 2.73-2.79
Ga (0.6648, 0.9961, 0.0752)  3 Rh 2.57-2.59, 3 Ga 2.73-2.79
Ga (0.0039, 0.3352, 0.5752)  3 Rh 2.57-2.59, 3 Ga 2.73-2.79
Ga (0.4536, 0.6625, 0.2500)  2 Rh 2.58, 6 Ga 2.70-2.82
Ga (0.3375, 0.5464, 0.7500)  2 Rh 2.58, 6 Ga 2.70-2.82
Ga (0.3352, 0.3352, 0.0599)  3 Rh 2.59, 5 Ga 2.73-2.82
Ga (0.0039, 0.3352, 0.9248)  3 Rh 2.57-2.59, 3 Ga 2.73-2.79
Ga (0.9961, 0.6648, 0.4248)  3 Rh 2.57-2.59, 3 Ga 2.73-2.79
Ga (0.3352, 0.0039, 0.9248)  3 Rh 2.57-2.59, 3 Ga 2.73-2.79
Rh (0.6709, 0.3291, 0.5000)  8 Ga 2.57-2.59
Rh (0.6709, 0.3291, 0.0000)  8 Ga 2.57-2.59
Rh (0.3291, 0.6709, 0.5000)  8 Ga 2.57-2.59
Rh (0.0000, 0.0000, 0.0000)  8 Ga 2.59
Rh (0.0000, 0.0000, 0.5000)  8 Ga 2.59
Rh (0.3291, 0.6709, 0.0000)  8 Ga 2.57-2.59

Values from the calculation:
Density of states at the Fermi level, states/eV/f.u.: 20.49
M_tot, μB/f.u.: 13.66
Calculated volume, Å³ per cell: 465.4
Energy relative to the elements, meV per atom: -690

12.
The following is a DFT calculation (GGA-PBEsol) of a geometry-optimized EuGa2S4 structure.

Lattice parameters (Å, degrees): 5.8733 5.8733 10.1767 90.00 90.00 118.63
With the nearest neighbours (Å) after each atom.
Fractional coordinates of all 14 atoms:
Eu (0.5000, 0.5000, 0.2500)  8 S 3.00-3.04
Eu (0.5000, 0.5000, 0.7500)  8 S 3.00-3.04
Ga (0.7668, 0.2365, 0.0000)  4 S 2.27-2.33
Ga (0.2332, 0.7635, 0.0000)  4 S 2.27-2.33
Ga (0.7635, 0.2332, 0.5000)  4 S 2.27-2.33
Ga (0.2365, 0.7668, 0.5000)  4 S 2.27-2.33
S (0.3505, 0.1915, 0.0000)  2 Ga 2.27-2.33
S (0.6495, 0.8085, 0.0000)  2 Ga 2.27-2.33
S (0.8085, 0.6495, 0.5000)  2 Ga 2.27-2.33
S (0.1915, 0.3505, 0.5000)  2 Ga 2.27-2.33
S (0.5000, 0.0000, 0.3291)  2 Ga 2.29
S (0.0000, 0.5000, 0.1709)  2 Ga 2.29
S (0.5000, 0.0000, 0.6709)  2 Ga 2.29
S (0.0000, 0.5000, 0.8291)  2 Ga 2.29

Values from the calculation:
Density of states at the Fermi level, states/eV/f.u.: 21.82
Uncorrected formation energy, meV per atom: -1162
M_tot, μB/f.u.: 7.00
Calculated volume, Å³ per cell: 308.1